Record 1
A plane-wave DFT calculation with PBE was carried out for a geometry-optimized Y2ScSb structure.

Unit cell a=4.058 b=4.058 c=6.585 alpha=90.00 beta=90.00 gamma=90.00
Positions (direct):
Sb (0.500, 0.500, 0.250)
Sc (0.500, 0.500, 0.750)
Y (0.000, 0.000, 0.008)
Y (0.000, 0.000, 0.492)

Electronic total energy: -25.5 eV per formula unit
Density: 5.275 g cm⁻³
E_form (uncorrected): -0.518 eV/atom

=====

Record 2
A plane-wave DFT calculation with PBE was carried out for a geometry-optimized CrIn2NiW structure.

Unit cell a=4.725 b=4.682 c=4.725 alpha=90.00 beta=90.00 gamma=90.00
Positions (direct):
Ni (0.000, 0.000, 0.000)
Cr (0.500, 0.500, 0.500)
W (0.000, 0.500, 0.000)
In (0.000, 0.000, 0.500)
In (0.500, 0.000, 0.000)

Electronic total energy: -28.8 eV per formula unit
Density: 8.328 g cm⁻³

=====

Record 3
A plane-wave DFT calculation with PBE was carried out for a geometry-optimized BaPrGa4 structure.

Unit cell a=4.308 b=6.448 c=6.448 alpha=93.35 beta=70.48 gamma=70.48
Positions (direct):
Ba (0.000, 0.000, 0.500)
Pr (0.000, 0.500, 0.000)
Ga (0.667, 0.565, 0.602)
Ga (0.333, 0.435, 0.398)
Ga (0.333, 0.898, 0.935)
Ga (0.667, 0.102, 0.065)

Electronic total energy: -21.9 eV per formula unit
Density: 5.924 g cm⁻³
Energy above the lowest structure with this stoichiometry: 0 meV per atom

=====

Record 4
A plane-wave DFT calculation with PBE was carried out for a geometry-optimized CaSc2Co structure.

Unit cell a=5.684 b=5.684 c=5.684 alpha=136.67 beta=136.67 gamma=62.95
Positions (direct):
Sc (0.000, 0.000, 0.000)
Sc (0.250, 0.750, 0.500)
Ca (0.500, 0.500, 0.000)
Co (0.750, 0.250, 0.500)

Electronic total energy: -20.3 eV per formula unit
Density: 3.674 g cm⁻³
Energy above the lowest structure with this stoichiometry: 460 meV per atom

=====

Record 5
A plane-wave DFT calculation with PBE was carried out for a geometry-optimized Sc3TeH structure.

Unit cell a=4.443 b=4.443 c=4.443 alpha=90.00 beta=90.00 gamma=90.00
Positions (direct):
Sc (0.000, 0.500, 0.000)
Sc (0.000, 0.000, 0.500)
Sc (0.500, 0.000, 0.000)
H (0.000, 0.000, 0.000)
Te (0.500, 0.500, 0.500)

Electronic total energy: -27.9 eV per formula unit
Density: 4.989 g cm⁻³
Energy above the lowest structure with this stoichiometry: 0 meV per atom

=====

Record 6
A plane-wave DFT calculation with PBE was carried out for a geometry-optimized Na4Tl3Pd structure.

Unit cell a=3.278 b=4.609 c=14.757 alpha=98.98 beta=83.49 gamma=90.00
Positions (direct):
Na (0.590, 0.413, 0.826)
Na (0.410, 0.587, 0.174)
Na (0.284, 0.714, 0.428)
Na (0.716, 0.286, 0.572)
Tl (0.500, 0.000, 0.000)
Tl (0.844, 0.153, 0.307)
Tl (0.156, 0.847, 0.693)
Pd (0.000, 0.500, 0.000)

Electronic total energy: -18.4 eV per formula unit
Density: 6.160 g cm⁻³

=====

Record 7
A plane-wave DFT calculation with PBE was carried out for a geometry-optimized AgB structure.

Unit cell a=6.794 b=6.794 c=2.739 alpha=90.00 beta=90.00 gamma=90.00
Positions (direct):
Ag (0.265, 0.265, 0.000)
Ag (0.765, 0.235, 0.500)
Ag (0.235, 0.765, 0.500)
Ag (0.735, 0.735, 0.000)
B (0.417, 0.583, 0.000)
B (0.917, 0.917, 0.500)
B (0.083, 0.083, 0.500)
B (0.583, 0.417, 0.000)

Electronic total energy: -7.9 eV per formula unit
Density: 6.235 g cm⁻³
Energy above the lowest structure with this stoichiometry: 433 meV per atom

=====

Record 8
A plane-wave DFT calculation with PBE was carried out for a geometry-optimized PaMn4As12 structure.

Unit cell a=7.297 b=7.297 c=7.297 alpha=109.47 beta=109.47 gamma=109.47
Positions (direct):
Pa (0.000, 0.000, 0.000)
Mn (0.000, 0.500, 0.000)
Mn (0.500, 0.000, 0.000)
Mn (0.500, 0.500, 0.500)
Mn (0.000, 0.000, 0.500)
As (0.846, 0.338, 0.184)
As (0.338, 0.492, 0.154)
As (0.816, 0.154, 0.662)
As (0.338, 0.184, 0.846)
As (0.184, 0.846, 0.338)
As (0.662, 0.508, 0.846)
As (0.492, 0.154, 0.338)
As (0.508, 0.846, 0.662)
As (0.662, 0.816, 0.154)
As (0.846, 0.662, 0.508)
As (0.154, 0.338, 0.492)
As (0.154, 0.662, 0.816)

Electronic total energy: -106.9 eV per formula unit
Density: 7.494 g cm⁻³

=====

Record 9
A plane-wave DFT calculation with PBE was carried out for a geometry-optimized Rb4Pu3ZnO12 structure.

Unit cell a=7.403 b=7.403 c=7.403 alpha=109.47 beta=109.47 gamma=109.47
Positions (direct):
Rb (0.500, 0.500, 0.500)
Rb (0.000, 0.000, 0.500)
Rb (0.500, 0.000, 0.000)
Rb (0.000, 0.500, 0.000)
Pu (0.500, 0.000, 0.500)
Pu (0.500, 0.500, 0.000)
Pu (0.000, 0.500, 0.500)
Zn (0.000, 0.000, 0.000)
O (0.250, 0.500, 0.750)
O (0.731, 0.000, 0.731)
O (0.269, 0.000, 0.269)
O (0.750, 0.500, 0.250)
O (0.731, 0.731, 0.000)
O (0.269, 0.269, 0.000)
O (0.750, 0.250, 0.500)
O (0.250, 0.750, 0.500)
O (0.500, 0.250, 0.750)
O (0.000, 0.731, 0.731)
O (0.500, 0.750, 0.250)
O (0.000, 0.269, 0.269)

Electronic total energy: -152.3 eV per formula unit
Density: 7.077 g cm⁻³
E_form (uncorrected): -2.234 eV/atom

=====

Record 10
A plane-wave DFT calculation with PBE was carried out for a geometry-optimized Tb2AlHg4 structure.

Unit cell a=5.028 b=5.028 c=8.604 alpha=73.01 beta=73.01 gamma=60.00
Positions (direct):
Tb (0.745, 0.745, 0.766)
Tb (0.255, 0.255, 0.234)
Al (0.000, 0.000, 0.000)
Hg (0.871, 0.871, 0.388)
Hg (0.129, 0.129, 0.612)
Hg (0.617, 0.617, 0.150)
Hg (0.383, 0.383, 0.850)

Electronic total energy: -16.1 eV per formula unit
Density: 10.743 g cm⁻³

=====

Record 11
A plane-wave DFT calculation with PBE was carried out for a geometry-optimized AcPmAsS structure.

Unit cell a=5.221 b=5.221 c=5.221 alpha=60.00 beta=60.00 gamma=60.00
Positions (direct):
S (0.250, 0.250, 0.250)
Ac (0.500, 0.500, 0.500)
As (0.750, 0.750, 0.750)
Pm (0.000, 0.000, 0.000)

Electronic total energy: -23.4 eV per formula unit
Density: 7.901 g cm⁻³
E_form (uncorrected): -1.429 eV/atom
Energy above the lowest structure with this stoichiometry: 345 meV per atom

=====

Record 12
A plane-wave DFT calculation with PBE was carried out for a geometry-optimized Sm4MgSn2 structure.

Unit cell a=7.868 b=6.488 c=9.389 alpha=90.00 beta=119.34 gamma=90.00
Positions (direct):
Sm (0.545, 0.496, 0.219)
Sm (0.054, 0.750, 0.886)
Sm (0.946, 0.250, 0.114)
Sm (0.545, 0.004, 0.219)
Sm (0.026, 0.250, 0.521)
Sm (0.455, 0.996, 0.781)
Sm (0.455, 0.504, 0.781)
Sm (0.974, 0.750, 0.479)
Mg (0.237, 0.750, 0.299)
Mg (0.763, 0.250, 0.701)
Sn (0.806, 0.750, 0.084)
Sn (0.194, 0.250, 0.916)
Sn (0.358, 0.250, 0.432)
Sn (0.642, 0.750, 0.568)

Electronic total energy: -30.8 eV per formula unit
Density: 6.861 g cm⁻³